A plane-wave DFT calculation with PBE+U was carried out for a relaxed structure of Mg2MnIrO6.

POSCAR file:
```
Mg2MnIrO6
1.0
2.5866 1.4934 4.6341
-2.5866 1.4934 4.6341
0.0000 -2.9868 4.6341
Mg Mn Ir O
2 1 1 6
Direct
0.0000 0.0000 0.0000
0.4966 0.4966 0.4966
0.2074 0.2074 0.2074
0.7005 0.7005 0.7005
0.0811 0.4247 0.8078
0.3148 0.9099 0.5973
0.4247 0.8078 0.0811
0.5973 0.3148 0.9099
0.8078 0.0811 0.4247
0.9099 0.5973 0.3148
```

Computed properties:
DOS(E_F)   1.53 states/eV per cell
V   10.7 Å³/atom
Calculated total energy   -6.63 eV/atom